Entry 1:
## Cu2HgTe (SCAN)

Data for Cu2HgTe at its PBEsol-relaxed geometry.

a b c (Å): 4.6842 4.6842 4.6842
angles (deg): 124.03 112.70 93.13
Sites, in units of the cell vectors:
Cu (0.2217, 0.2217, 0.0000)
Cu (0.7783, 0.7783, 0.0000)
Hg (0.0000, 0.5000, 0.5000)
Te (0.5000, 0.0000, 0.5000)

Computed properties:
Theoretical density ... 10.3 g/cm³
Formation energy without anion corrections ... 27.0 kJ per mole of atoms
Energy ... -134.697 eV/cell
M_tot ... 0.00 μB per atom

=====

Entry 2:
## Ba4CaAu (SCAN)

Data for Ba4CaAu at its PBEsol-relaxed geometry.

a b c (Å): 7.2342 7.2342 7.2342
angles (deg): 60.00 60.00 60.00
Sites, in units of the cell vectors:
Ba (0.1232, 0.1232, 0.1232)
Ba (0.1232, 0.1232, 0.6303)
Ba (0.1232, 0.6303, 0.1232)
Ba (0.6303, 0.1232, 0.1232)
Ca (0.5000, 0.5000, 0.5000)
Au (0.7500, 0.7500, 0.7500)

Computed properties:
Theoretical density ... 4.9 g/cm³
Energy ... -234.780 eV/cell
Formation enthalpy at 0 K ... 373 meV per atom
M_tot ... 0.44 μB per atom

=====

Entry 3:
## ZnTc (SCAN)

Data for ZnTc at its PBEsol-relaxed geometry.

a b c (Å): 4.9288 4.9288 4.9288
angles (deg): 49.00 49.00 49.00
Sites, in units of the cell vectors:
Zn (0.1176, 0.1176, 0.1176)
Zn (0.8824, 0.8824, 0.8824)
Tc (0.3220, 0.3220, 0.3220)
Tc (0.6780, 0.6780, 0.6780)

Computed properties:
Theoretical density ... 8.7 g/cm³
Energy ... -96.363 eV/cell
Formation enthalpy at 0 K ... 197 meV per atom
M_tot ... 0.00 μB per atom

=====

What did the third record say?
## ZnTc (SCAN)

Data for ZnTc at its PBEsol-relaxed geometry.

a b c (Å): 4.9288 4.9288 4.9288
angles (deg): 49.00 49.00 49.00
Sites, in units of the cell vectors:
Zn (0.1176, 0.1176, 0.1176)
Zn (0.8824, 0.8824, 0.8824)
Tc (0.3220, 0.3220, 0.3220)
Tc (0.6780, 0.6780, 0.6780)

Computed properties:
Theoretical density ... 8.7 g/cm³
Energy ... -96.363 eV/cell
Formation enthalpy at 0 K ... 197 meV per atom
M_tot ... 0.00 μB per atom